(1)
DFT (PBE) results for an optimized crystal structure of LiPaMnN4.

Unit cell a=5.894 b=5.321 c=6.538 alpha=90.00 beta=94.29 gamma=90.00
Space group P2_1/m (No. 11)
One atom of each set of equivalent atoms:
Li 0.111 0.250 0.141 x2
Pa 0.301 0.250 0.589 x2
Mn 0.190 0.750 0.326 x2
N 0.053 0.250 0.832 x2
N 0.084 0.750 0.561 x2
N 0.378 0.501 0.312 x4

Calculated values
**Uncorrected formation energy**: -639.7 meV/atom
**Total DFT energy (no corrections)**: -58.36 eV/f.u.

---

(2)
DFT (PBE) results for an optimized crystal structure of Mn2V4Rh.

Unit cell a=4.524 b=4.524 c=12.195 alpha=90.00 beta=90.00 gamma=90.00
Space group I4/mmm (No. 139)
One atom of each set of equivalent atoms:
Mn 0.000 0.000 0.111 x4
V 0.000 0.000 0.296 x4
V 0.000 0.500 0.000 x4
Rh 0.000 0.000 0.500 x2

Calculated values
**E_form**: 975.5 meV per atom
**Total DFT energy (no corrections)**: -55.34 eV/f.u.